# 1
{"formula": "Pu2CdMo", "functional": "PBE", "state": "optimized geometry", "lattice": [[2.577, 0.000, 0.000], [0.000, 2.577, 0.000], [0.000, 0.000, 10.917]], "species": ["Pu", "Pu", "Cd", "Mo"], "frac_coords": [[0.000, 0.000, 0.240], [0.000, 0.000, 0.760], [0.500, 0.500, 0.500], [0.500, 0.500, 0.000]], "polymorph_energy_mev_per_atom": 100, "formation_energy_mev_per_atom": 566, "space_group": "P4/mmm (123)"}

=====

# 2
{"formula": "BaLiAg3", "functional": "PBE", "state": "optimized geometry", "lattice": [[5.029, 0.000, 0.000], [0.000, 5.029, 0.000], [0.000, 0.000, 5.029]], "species": ["Ba", "Li", "Ag", "Ag", "Ag"], "frac_coords": [[0.000, 0.000, 0.000], [0.500, 0.500, 0.500], [0.000, 0.500, 0.500], [0.500, 0.000, 0.500], [0.500, 0.500, 0.000]], "polymorph_energy_mev_per_atom": 77, "formation_energy_mev_per_atom": -83, "space_group": "Pm-3m (221)"}

=====

# 3
{"formula": "TcH2Se", "functional": "PBE", "state": "optimized geometry", "lattice": [[-1.802, 1.802, 6.713], [1.802, -1.802, 6.713], [1.802, 1.802, -6.713]], "species": ["Tc", "Tc", "H", "H", "H", "H", "Se", "Se"], "frac_coords": [[0.375, 0.625, 0.750], [0.625, 0.375, 0.250], [0.000, 0.500, 0.500], [0.500, 0.000, 0.000], [0.500, 0.500, 0.000], [0.500, 0.500, 0.500], [0.125, 0.875, 0.250], [0.875, 0.125, 0.750]], "polymorph_energy_mev_per_atom": 0, "space_group": "I4_1/amd (141)"}

=====

# 4
{"formula": "KCaCl2", "functional": "PBE", "state": "optimized geometry", "lattice": [[5.478, 0.000, 0.000], [0.000, 5.478, 0.000], [0.000, 0.000, 4.372]], "species": ["K", "Ca", "Cl", "Cl"], "frac_coords": [[0.000, 0.000, 0.000], [0.500, 0.500, 0.498], [0.000, 0.500, 0.499], [0.500, 0.000, 0.499]], "polymorph_energy_mev_per_atom": 0, "space_group": "P4mm (99)"}

=====

# 5
{"formula": "Nd6Dy5Tm2", "functional": "PBE", "state": "optimized geometry", "lattice": [[11.676, 0.000, 0.000], [0.000, 20.647, 0.000], [0.000, 0.000, 3.616]], "species": ["Nd", "Nd", "Nd", "Nd", "Nd", "Nd", "Nd", "Nd", "Nd", "Nd", "Nd", "Nd", "Dy", "Dy", "Dy", "Dy", "Dy", "Dy", "Dy", "Dy", "Dy", "Dy", "Tm", "Tm", "Tm", "Tm"], "frac_coords": [[0.061, 0.081, 0.000], [0.084, 0.368, 0.000], [0.172, 0.637, 0.500], [0.328, 0.137, 0.500], [0.416, 0.868, 0.000], [0.439, 0.581, 0.000], [0.561, 0.419, 0.000], [0.584, 0.132, 0.000], [0.672, 0.863, 0.500], [0.828, 0.363, 0.500], [0.916, 0.632, 0.000], [0.939, 0.919, 0.000], [0.000, 0.500, 0.500], [0.092, 0.227, 0.500], [0.197, 0.944, 0.500], [0.303, 0.444, 0.500], [0.408, 0.727, 0.500], [0.500, 0.000, 0.500], [0.592, 0.273, 0.500], [0.697, 0.556, 0.500], [0.803, 0.056, 0.500], [0.908, 0.773, 0.500], [0.166, 0.791, 0.000], [0.334, 0.291, 0.000], [0.666, 0.709, 0.000], [0.834, 0.209, 0.000]], "formation_energy_mev_per_atom": 103, "space_group": "Pbam (55)"}

=====

# 6
{"formula": "CrHg2", "functional": "PBE", "state": "optimized geometry", "lattice": [[4.890, 0.000, 0.000], [-2.445, 4.235, 0.000], [0.000, 0.000, 5.967]], "species": ["Cr", "Cr", "Hg", "Hg", "Hg", "Hg"], "frac_coords": [[0.333, 0.667, 0.250], [0.667, 0.333, 0.750], [0.000, 0.000, 0.000], [0.000, 0.000, 0.500], [0.333, 0.667, 0.750], [0.667, 0.333, 0.250]], "formation_energy_mev_per_atom": 445, "space_group": "P6_3/mmc (194)"}

=====

# 7
{"formula": "CsNClF2", "functional": "PBE", "state": "optimized geometry", "lattice": [[5.134, 0.000, 0.000], [0.000, 5.134, 0.000], [0.000, 0.000, 3.458]], "species": ["Cs", "N", "Cl", "F", "F"], "frac_coords": [[0.000, 0.000, 0.000], [0.500, 0.500, 0.000], [0.500, 0.500, 0.500], [0.000, 0.500, 0.500], [0.500, 0.000, 0.500]], "polymorph_energy_mev_per_atom": 0, "space_group": "P4/mmm (123)"}

=====

# 8
{"formula": "Ba3Sb2Pt", "functional": "PBE", "state": "optimized geometry", "lattice": [[13.579, 0.000, 0.000], [0.000, 4.896, 0.000], [0.000, 0.000, 13.355]], "species": ["Ba", "Ba", "Ba", "Ba", "Ba", "Ba", "Ba", "Ba", "Ba", "Ba", "Ba", "Ba", "Sb", "Sb", "Sb", "Sb", "Sb", "Sb", "Sb", "Sb", "Pt", "Pt", "Pt", "Pt"], "frac_coords": [[0.058, 0.250, 0.124], [0.114, 0.750, 0.550], [0.220, 0.250, 0.802], [0.280, 0.750, 0.302], [0.386, 0.250, 0.050], [0.442, 0.750, 0.624], [0.558, 0.250, 0.376], [0.614, 0.750, 0.950], [0.720, 0.250, 0.698], [0.780, 0.750, 0.198], [0.886, 0.250, 0.450], [0.942, 0.750, 0.876], [0.026, 0.750, 0.310], [0.203, 0.750, 0.987], [0.297, 0.250, 0.487], [0.474, 0.250, 0.810], [0.526, 0.750, 0.190], [0.703, 0.750, 0.513], [0.797, 0.250, 0.013], [0.974, 0.250, 0.690], [0.122, 0.250, 0.363], [0.378, 0.750, 0.863], [0.622, 0.250, 0.137], [0.878, 0.750, 0.637]], "space_group": "Pnma (62)"}

=====

# 9
{"formula": "CsTl3Rh", "functional": "PBE", "state": "optimized geometry", "lattice": [[4.993, 2.883, 2.712], [-4.993, 2.883, 2.712], [0.000, -5.766, 2.712]], "species": ["Cs", "Tl", "Tl", "Tl", "Rh"], "frac_coords": [[0.000, 0.000, 0.000], [0.296, 0.672, 0.672], [0.672, 0.296, 0.672], [0.672, 0.672, 0.296], [0.366, 0.366, 0.366]], "formation_energy_mev_per_atom": 406, "space_group": "R3m (160)"}

=====

# 10
{"formula": "Ac3PrPb3", "functional": "PBE", "state": "optimized geometry", "lattice": [[4.615, -7.030, 0.000], [4.615, 7.030, 0.000], [-0.565, 0.000, 8.804]], "species": ["Ac", "Ac", "Ac", "Ac", "Ac", "Ac", "Pr", "Pr", "Pb", "Pb", "Pb", "Pb", "Pb", "Pb"], "frac_coords": [[0.162, 0.838, 0.000], [0.231, 0.769, 0.500], [0.388, 0.388, 0.153], [0.612, 0.612, 0.847], [0.769, 0.231, 0.500], [0.838, 0.162, 0.000], [0.251, 0.251, 0.591], [0.749, 0.749, 0.409], [0.063, 0.063, 0.283], [0.139, 0.490, 0.797], [0.490, 0.139, 0.797], [0.510, 0.861, 0.203], [0.861, 0.510, 0.203], [0.937, 0.937, 0.717]], "formation_energy_mev_per_atom": -324, "space_group": "C2/m (12)"}

=====

# 11
{"formula": "Pm6PdRh", "functional": "PBE", "state": "optimized geometry", "lattice": [[3.475, -5.681, 0.000], [3.475, 5.681, 0.000], [-2.304, 0.000, 6.530]], "species": ["Pm", "Pm", "Pm", "Pm", "Pm", "Pm", "Pd", "Rh"], "frac_coords": [[0.062, 0.416, 0.246], [0.252, 0.252, 0.758], [0.416, 0.062, 0.246], [0.584, 0.938, 0.754], [0.748, 0.748, 0.242], [0.938, 0.584, 0.754], [0.500, 0.500, 0.500], [0.000, 0.000, 0.000]], "formation_energy_mev_per_atom": -278, "space_group": "C2/m (12)"}

=====

# 12
{"formula": "LaPr12Sm6", "functional": "PBE", "state": "optimized geometry", "lattice": [[6.183, 3.570, 5.180], [-6.183, 3.570, 5.180], [0.000, -7.139, 5.180]], "species": ["La", "Pr", "Pr", "Pr", "Pr", "Pr", "Pr", "Pr", "Pr", "Pr", "Pr", "Pr", "Pr", "Sm", "Sm", "Sm", "Sm", "Sm", "Sm"], "frac_coords": [[0.000, 0.000, 0.000], [0.017, 0.195, 0.362], [0.195, 0.362, 0.017], [0.219, 0.464, 0.567], [0.362, 0.017, 0.195], [0.433, 0.781, 0.536], [0.464, 0.567, 0.219], [0.536, 0.433, 0.781], [0.567, 0.219, 0.464], [0.638, 0.983, 0.805], [0.781, 0.536, 0.433], [0.805, 0.638, 0.983], [0.983, 0.805, 0.638], [0.097, 0.699, 0.260], [0.260, 0.097, 0.699], [0.301, 0.740, 0.903], [0.699, 0.260, 0.097], [0.740, 0.903, 0.301], [0.903, 0.301, 0.740]], "polymorph_energy_mev_per_atom": 0, "formation_energy_mev_per_atom": 122, "space_group": "R-3 (148)"}

=====

So what do the calculations give for uncorrected energy? Going down the list: -9.536 -2.561 -4.673 -3.430 -4.556 -2.964 -3.280 -4.331 -2.655 -4.356 -5.409 -4.646 eV/atom.